A relaxed structure of AcTaMo2O8, computed with PBE+U.

Lattice parameters (Å, degrees): 4.915 4.923 6.859 89.76 89.66 87.99
Space group P-1 (No. 2)
Symmetry-distinct sites (fractional):
Ac  0.000  0.000  0.000 x1
Ta  0.000  0.000  0.500 x1
Mo  0.499  0.498  0.742 x2
O  0.202  0.796  0.294 x2
O  0.209  0.803  0.705 x2
O  0.298  0.301  0.495 x2
O  0.328  0.341  0.984 x2

Properties
Uncorrected energy = -8.148 eV/atom